Computed, not measured: a relaxed structure of ZnH16C6Br4N2 at the PBE level of DFT.

a = 7.839 Å, b = 12.366 Å, c = 14.184 Å
α = 90.00°, β = 94.86°, γ = 90.00°
Space group C2/c (No. 15)
Asymmetric unit:
Zn 0.000 0.028 0.250 x4
H 0.023 0.487 0.138 x8
H 0.068 0.281 0.848 x8
H 0.069 0.228 0.571 x8
H 0.130 0.362 0.009 x8
H 0.150 0.327 0.654 x8
H 0.155 0.352 0.432 x8
H 0.182 0.465 0.877 x8
H 0.243 0.444 0.520 x8
C 0.018 0.389 0.963 x8
C 0.037 0.302 0.608 x8
C 0.126 0.420 0.476 x8
Br 0.052 0.135 0.113 x8
Br 0.248 0.090 0.779 x8
N 0.075 0.487 0.912 x8

Raw total energy ... -4.96 eV per atom

---

Computed, not measured: a relaxed structure of ZnH24C16Br4N2 at the PBE level of DFT.

a = 7.170 Å, b = 11.936 Å, c = 13.156 Å
α = 74.57°, β = 80.96°, γ = 88.27°
Space group P-1 (No. 2)
Asymmetric unit:
Zn 0.201 0.471 0.274 x2
H 0.083 0.423 0.894 x2
H 0.096 0.867 0.217 x2
H 0.124 0.893 0.442 x2
H 0.133 0.863 0.025 x2
H 0.137 0.689 0.555 x2
H 0.160 0.939 0.738 x2
H 0.179 0.136 0.635 x2
H 0.180 0.274 0.109 x2
H 0.185 0.646 0.443 x2
H 0.189 0.061 0.174 x2
H 0.245 0.753 0.193 x2
H 0.246 0.884 0.630 x2
H 0.259 0.440 0.959 x2
H 0.271 0.740 0.802 x2
H 0.290 0.247 0.784 x2
H 0.296 0.033 0.851 x2
H 0.312 0.431 0.831 x2
H 0.319 0.071 0.359 x2
H 0.327 0.607 0.538 x2
H 0.345 0.882 0.206 x2
H 0.373 0.314 0.550 x2
H 0.379 0.870 0.014 x2
H 0.425 0.834 0.835 x2
H 0.498 0.774 0.726 x2
C 0.205 0.221 0.052 x2
C 0.210 0.100 0.089 x2
C 0.233 0.848 0.174 x2
C 0.234 0.272 0.943 x2
C 0.241 0.030 0.018 x2
C 0.247 0.899 0.055 x2
C 0.267 0.206 0.870 x2
C 0.270 0.085 0.908 x2
C 0.277 0.887 0.425 x2
C 0.291 0.913 0.695 x2
C 0.332 0.129 0.618 x2
C 0.365 0.779 0.450 x2
C 0.377 0.810 0.769 x2
C 0.388 0.987 0.378 x2
C 0.415 0.019 0.645 x2
C 0.440 0.230 0.570 x2
Br 0.031 0.412 0.647 x2
Br 0.098 0.271 0.327 x2
Br 0.245 0.554 0.080 x2
Br 0.498 0.501 0.330 x2
N 0.223 0.399 0.904 x2
N 0.248 0.675 0.498 x2

Raw total energy ... -5.60 eV per atom

---

Computed, not measured: a relaxed structure of H9PtC3Br at the PBE level of DFT.

a = 13.788 Å, b = 14.144 Å, c = 12.761 Å
α = 90.00°, β = 95.68°, γ = 90.00°
Space group C2/m (No. 12)
Asymmetric unit:
H 0.006 0.000 0.360 x4
H 0.018 0.213 0.187 x8
H 0.029 0.291 0.916 x8
H 0.033 0.063 0.244 x8
H 0.035 0.207 0.617 x8
H 0.084 0.407 0.383 x8
H 0.088 0.064 0.014 x8
H 0.096 0.286 0.344 x8
H 0.099 0.094 0.476 x8
H 0.110 0.211 0.857 x8
H 0.114 0.000 0.899 x4
H 0.115 0.379 0.252 x8
H 0.116 0.286 0.559 x8
H 0.134 0.381 0.058 x8
H 0.161 0.211 0.668 x8
H 0.183 0.169 0.417 x8
H 0.226 0.089 0.520 x8
H 0.236 0.422 0.145 x8
H 0.246 0.165 0.954 x8
Pt 0.072 0.359 0.736 x8
Pt 0.196 0.000 0.340 x4
Pt 0.235 0.500 0.956 x4
C 0.045 0.256 0.843 x8
C 0.049 0.000 0.292 x4
C 0.073 0.357 0.317 x8
C 0.099 0.253 0.633 x8
C 0.122 0.000 0.985 x4
C 0.173 0.099 0.452 x8
C 0.212 0.398 0.064 x8
Br 0.048 0.500 0.871 x4
Br 0.112 0.500 0.604 x4
Br 0.236 0.130 0.193 x8

Raw total energy ... -4.83 eV per atom

---

Computed, not measured: a relaxed structure of Zr2HCBr at the PBE level of DFT.

a = 3.4143 Å, b = 3.4143 Å, c = 9.1022 Å
α = 90.00°, β = 90.00°, γ = 120.00°
Space group P3m1 (No. 156)
Asymmetric unit:
Zr 0.0000 0.0000 0.0000 x1
Zr 0.3333 0.6667 0.2691 x1
H 0.0000 0.0000 0.3752 x1
C 0.6667 0.3333 0.1318 x1
Br 0.3333 0.6667 0.7824 x1

Raw total energy ... -7.15 eV per atom

---

Computed, not measured: a relaxed structure of HfZrCBr2 at the PBE level of DFT.

a = 3.4915 Å, b = 3.4915 Å, c = 9.7773 Å
α = 90.00°, β = 90.00°, γ = 120.00°
Space group P3m1 (No. 156)
Asymmetric unit:
Hf 0.0000 0.0000 0.0000 x1
Zr 0.6667 0.3333 0.2391 x1
C 0.3333 0.6667 0.1134 x1
Br 0.0000 0.0000 0.4393 x1
Br 0.6667 0.3333 0.8021 x1

Raw total energy ... -7.43 eV per atom

---

Computed, not measured: a relaxed structure of K2HgC2S2Br2N2 at the PBE level of DFT.

a = 13.0180 Å, b = 13.0180 Å, c = 11.4141 Å
α = 90.00°, β = 90.00°, γ = 120.00°
Space group P6_3/m (No. 176)
Asymmetric unit:
K 0.0000 0.0000 0.0000 x2
K 0.1437 0.4669 0.2500 x6
K 0.3333 0.6667 0.5494 x4
Hg 0.1378 0.3256 0.7500 x6
C 0.0655 0.6593 0.0851 x12
S 0.0555 0.3374 0.5489 x12
Br 0.0368 0.1810 0.2500 x6
Br 0.1380 0.6326 0.7500 x6
N 0.1537 0.6577 0.1062 x12

Raw total energy ... -4.93 eV per atom

---

> What is the formula in the fifth record?

HfZrCBr2